(1)
Compound: Pm2SbS
Source: the Alexandria database
Functional: PBE
Structure: optimized geometry

a b c (Å): 4.167 4.167 7.878
angles (deg): 74.66 74.66 60.00
Positions (direct):
S 0.498 0.498 0.505
Pm 0.248 0.248 0.255
Pm 0.086 0.086 0.742
Sb 0.668 0.668 0.997

Values from the calculation:
Crystal system   trigonal
Formation energy from raw total energies   -137 kJ per mole of atoms

=====

(2)
Compound: BeTcW
Source: the Alexandria database
Functional: PBE
Structure: optimized geometry

a b c (Å): 4.230 4.230 2.658
angles (deg): 90.00 90.00 120.00
Positions (direct):
Tc 0.333 0.667 0.340
Be 0.000 0.000 0.022
W 0.667 0.333 0.638

Values from the calculation:
Crystal system   trigonal
Calculated formation energy   0.08 eV per atom

=====

(3)
Compound: Tl2NiAs
Source: the Alexandria database
Functional: PBE
Structure: optimized geometry

a b c (Å): 6.503 4.633 4.325
angles (deg): 80.01 65.29 120.45
Positions (direct):
As 0.000 0.500 0.500
Ni 0.500 0.500 0.000
Tl 0.000 0.000 0.000
Tl 0.500 0.000 0.500

Values from the calculation:
Crystal system   monoclinic
Calculated formation energy   0.46 eV per atom

=====

(4)
Compound: IrC2
Source: the Alexandria database
Functional: PBE
Structure: optimized geometry

a b c (Å): 6.769 6.769 2.714
angles (deg): 90.00 90.00 150.79
Positions (direct):
C 0.476 0.524 0.250
C 0.265 0.735 0.250
C 0.735 0.265 0.750
C 0.524 0.476 0.750
Ir 0.149 0.851 0.750
Ir 0.851 0.149 0.250

Values from the calculation:
Crystal system   orthorhombic
Calculated formation energy   1.24 eV per atom

=====

(5)
Compound: Li3Ca2Al
Source: the Alexandria database
Functional: PBE
Structure: optimized geometry

a b c (Å): 5.856 5.856 6.006
angles (deg): 90.84 118.56 119.65
Positions (direct):
Li 0.000 0.000 0.500
Li 0.500 0.000 0.500
Li 0.500 0.500 0.500
Ca 0.746 0.373 0.119
Ca 0.254 0.627 0.881
Al 0.000 0.000 0.000

Values from the calculation:
Crystal system   monoclinic
Calculated formation energy   -0.09 eV per atom

=====

(6)
Compound: ZnTc3Hg
Source: the Alexandria database
Functional: PBE
Structure: optimized geometry

a b c (Å): 4.556 4.556 4.556
angles (deg): 90.00 90.00 90.00
Each line ends with the local moment (μB).
Positions (direct):
Tc 0.500 0.000 0.000  0.99
Tc 0.000 0.500 0.000  1.02
Tc 0.000 0.000 0.500  1.14
Hg 0.500 0.500 0.500  -0.01
Zn 0.000 0.000 0.000  0.02

Values from the calculation:
Crystal system   cubic
Calculated formation energy   1.66 eV per atom

=====

(7)
Compound: DyTmCuAg
Source: the Alexandria database
Functional: PBE
Structure: optimized geometry

a b c (Å): 3.509 3.509 7.137
angles (deg): 90.00 90.00 90.00
Positions (direct):
Ag 0.000 0.000 0.850
Dy 0.500 0.500 0.121
Cu 0.000 0.000 0.364
Tm 0.500 0.500 0.593

Values from the calculation:
Crystal system   tetragonal
Calculated formation energy   -0.30 eV per atom

=====

(8)
Compound: In2RhPb
Source: the Alexandria database
Functional: PBE
Structure: optimized geometry

a b c (Å): 5.033 5.033 5.033
angles (deg): 60.00 60.00 60.00
Positions (direct):
In 0.000 0.000 0.000
In 0.750 0.750 0.750
Pb 0.500 0.500 0.500
Rh 0.250 0.250 0.250

Values from the calculation:
Crystal system   cubic
Calculated formation energy   0.16 eV per atom

=====

no.,energy (eV/cell)
1,-23.45
2,-26.80
3,-13.33
4,-47.19
5,-14.03
6,-24.38
7,-17.21
8,-15.88